(1)
The following is a PBE calculation of a relaxed Ni2MoCl crystal, from Alexandria via LeMat-Bulk.

Calculated values
The value obtained for the formation energy from raw total energies is 58 kJ/mol of formula units. The total DFT energy (no corrections) comes out at -0.217 hartree per atom. Its density is 7.1 g/cm3. The calculation puts the total magnetization at 0.0 μB per cell.

Cell: 2.8342 2.7775 7.3608 Å, 90.00 90.20 90.00°
Last column: nearest neighbours and their distance in Å.
Space group P2/m (No. 10)
Unique sites:
1 Ni 0.0024 0.0000 0.2328 [2 per cell]  2 Cl 2.41, 4 Mo 2.62
2 Mo 0.5000 0.5000 0.0000 [1 per cell]  8 Ni 2.62, 4 Mo 2.78-2.83
3 Cl 0.0000 0.5000 0.5000 [1 per cell]  4 Ni 2.41


(2)
The following is a PBE calculation of a relaxed TiSnOs2 crystal, from Alexandria via LeMat-Bulk.

Calculated values
The total DFT energy (no corrections) comes out at -0.297 hartree per atom. Its density is 12.2 g/cm3. The calculation puts the total magnetization at 0.0 μB per cell.

Cell: 4.1049 4.1049 17.6241 Å, 90.00 90.00 90.00°
Last column: nearest neighbours and their distance in Å.
Space group I-42d (No. 122)
Unique sites:
1 Ti 0.0000 0.0000 0.0000 [4 per cell]  4 Os 2.55
2 Sn 0.0000 0.0000 0.5000 [4 per cell]  4 Os 2.75, 4 Ti 2.90
3 Os 0.1859 0.2500 0.1250 [8 per cell]  2 Ti 2.55, 2 Os 2.56, 2 Sn 2.75